Sb4IrW: relaxed, PBE.

Results
Total DFT energy (no corrections), eV per atom: -4.85
Raw formation energy, eV/atom: 1.530
Symmetry: F-43m
Calculated density, g/cm³: 9.94

The structure in extended XYZ format:
```
6
Lattice="0.0000 4.1616 4.1616 4.1616 0.0000 4.1616 4.1616 4.1616 0.0000" Properties=species:S:1:pos:R:3 pbc="T T T"
Sb 1.0407 1.0407 1.0407
Sb 3.1209 3.1209 1.0407
Sb 3.1209 1.0407 3.1209
Sb 1.0407 3.1209 3.1209
Ir 4.1616 4.1616 4.1616
W 6.2424 6.2424 6.2424
```

---

SbIrW2: relaxed, PBE.

Results
Total DFT energy (no corrections), eV per atom: -9.37
Raw formation energy, eV/atom: 0.356
Symmetry: Immm
Calculated density, g/cm³: 16.99

The structure in extended XYZ format:
```
4
Lattice="-1.8601 2.0483 4.3722 1.8601 -2.0483 4.3722 1.8601 2.0483 -4.3722" Properties=species:S:1:pos:R:3 pbc="T T T"
Sb 0.0000 0.0000 0.0000
Ir 0.0000 0.0000 4.3722
W 1.8601 0.0000 2.1599
W 0.0000 2.0483 2.2123
```

---

SbIrW2: relaxed, PBE.

Results
Total DFT energy (no corrections), eV per atom: -9.34
Raw formation energy, eV/atom: 0.384
Symmetry: Cmm2
Calculated density, g/cm³: 16.26

The structure in extended XYZ format:
```
4
Lattice="2.0758 -2.0814 0.0000 2.0758 2.0814 0.0000 0.0000 0.0000 8.0554" Properties=species:S:1:pos:R:3 pbc="T T T"
Sb 0.0000 0.0000 0.0000
Ir 2.0758 0.0000 2.2021
W 0.0000 0.0000 3.9105
W 2.0758 0.0000 5.9023
```

---

SbIrW2: relaxed, PBE.

Results
Total DFT energy (no corrections), eV per atom: -8.48
Raw formation energy, eV/atom: 1.245
Symmetry: I-42d
Calculated density, g/cm³: 11.00

The structure in extended XYZ format:
```
8
Lattice="-2.9628 2.9628 5.8595 2.9628 -2.9628 5.8595 2.9628 2.9628 -5.8595" Properties=species:S:1:pos:R:3 pbc="T T T"
Sb 0.0000 0.0000 0.0000
Sb 0.0000 2.9628 2.9298
Ir 2.9628 0.0000 2.9298
Ir 0.0000 0.0000 5.8595
W 1.4814 -1.2516 4.3947
W 1.7112 1.4814 1.4649
W 1.4814 4.2143 -1.4649
W 1.2516 1.4814 7.3244
```

---

Sb2IrW: relaxed, PBE.

Results
Total DFT energy (no corrections), eV per atom: -7.34
Raw formation energy, eV/atom: 0.174
Symmetry: Pm
Energy above the lowest structure with this stoichiometry, meV/atom: 19.6
Calculated density, g/cm³: 11.53

The structure in extended XYZ format:
```
4
Lattice="2.9325 0.0000 0.0000 0.0000 4.0866 0.0000 -1.4224 0.0000 7.4429" Properties=species:S:1:pos:R:3 pbc="T T T"
Sb 0.0000 0.0000 0.0000
Sb -0.0091 2.0433 4.5194
Ir -0.0005 0.0000 2.7454
W 1.4671 2.0433 1.7625
```

---

SbIr4W: relaxed, PBE.

Results
Total DFT energy (no corrections), eV per atom: -8.21
Raw formation energy, eV/atom: 0.548
Symmetry: F-43m
Calculated density, g/cm³: 17.70

The structure in extended XYZ format:
```
6
Lattice="0.0000 3.6940 3.6940 3.6940 0.0000 3.6940 3.6940 3.6940 0.0000" Properties=species:S:1:pos:R:3 pbc="T T T"
Sb 0.0000 0.0000 0.0000
Ir 2.7748 2.7748 2.7748
Ir 4.6133 4.6133 2.7748
Ir 4.6133 2.7748 4.6133
Ir 2.7748 4.6133 4.6133
W 5.5410 5.5410 5.5410
```

---

Repeat the second record exactly.
SbIrW2: relaxed, PBE.

Results
Total DFT energy (no corrections), eV per atom: -9.37
Raw formation energy, eV/atom: 0.356
Symmetry: Immm
Calculated density, g/cm³: 16.99

The structure in extended XYZ format:
```
4
Lattice="-1.8601 2.0483 4.3722 1.8601 -2.0483 4.3722 1.8601 2.0483 -4.3722" Properties=species:S:1:pos:R:3 pbc="T T T"
Sb 0.0000 0.0000 0.0000
Ir 0.0000 0.0000 4.3722
W 1.8601 0.0000 2.1599
W 0.0000 2.0483 2.2123
```